Entry 1:
VASP calculation (PBE) on a geometry-optimized TlPdF3 structure.

a b c (Å): 6.776 6.776 4.931
angles (deg): 90.00 90.00 132.65
Last column: magnetic moment on the atom in μB.
Element x y z (fractional)
Pd (0.448, 0.552, 0.250)  0.78
Pd (0.552, 0.448, 0.750)  0.78
Tl (0.157, 0.843, 0.250)  -0.02
F (0.435, 0.063, 0.750)  0.07
Tl (0.843, 0.157, 0.750)  -0.02
F (0.000, 0.000, 0.500)  -0.01
F (0.565, 0.937, 0.250)  0.07
F (0.063, 0.435, 0.250)  0.07
F (0.000, 0.000, 0.000)  -0.01
F (0.937, 0.565, 0.750)  0.07

spin magnetization = 0.9 μB per formula unit
E_form (uncorrected) = -5.14 eV per formula unit
energy above the lowest structure with this stoichiometry = 412 meV/atom
DOS at the Fermi energy = 0.621 states/eV/atom

Entry 2:
VASP calculation (PBE) on a geometry-optimized TbDy4AgS8 structure.

a b c (Å): 8.028 8.028 8.040
angles (deg): 60.05 60.05 60.00
Element x y z (fractional)
Dy (0.487, 0.004, 0.504)
S (0.758, 0.225, 0.259)
S (0.225, 0.758, 0.259)
S (0.243, 0.773, 0.741)
Dy (0.625, 0.625, 0.124)
S (0.758, 0.758, 0.725)
S (0.773, 0.243, 0.741)
Tb (0.004, 0.004, 0.987)
S (0.758, 0.758, 0.259)
S (0.243, 0.243, 0.741)
Ag (0.375, 0.375, 0.876)
Dy (0.004, 0.004, 0.504)
S (0.242, 0.242, 0.273)
Dy (0.004, 0.487, 0.504)

spin magnetization = 0.0 μB per formula unit
E_form (uncorrected) = -25.61 eV per formula unit
DOS at the Fermi energy = 0.000 states/eV/atom

Entry 3:
VASP calculation (PBE) on a geometry-optimized CaVH structure.

a b c (Å): 3.168 8.194 4.042
angles (deg): 90.00 90.00 78.89
Last column: magnetic moment on the atom in μB.
Element x y z (fractional)
H (0.309, 0.318, 0.179)  0.01
Ca (0.245, 0.446, 0.679)  0.01
Ca (0.541, 0.852, 0.179)  0.02
V (0.870, 0.197, 0.180)  -0.41
V (0.919, 0.098, 0.680)  0.79
H (0.036, 0.863, 0.679)  -0.01

spin magnetization = 0.3 μB per formula unit
energy above the lowest structure with this stoichiometry = 229 meV/atom
DOS at the Fermi energy = 0.585 states/eV/atom

Entry 4:
VASP calculation (PBE) on a geometry-optimized AsWCBr2 structure.

a b c (Å): 4.501 4.501 4.442
angles (deg): 90.00 90.00 90.00
Last column: magnetic moment on the atom in μB.
Element x y z (fractional)
Br (0.500, 0.000, 0.000)  -0.05
C (0.000, 0.000, 0.000)  -0.02
As (0.000, 0.000, 0.500)  -0.16
W (0.500, 0.500, 0.500)  2.36
Br (0.000, 0.500, 0.000)  -0.05

spin magnetization = 2.6 μB per formula unit
E_form (uncorrected) = 9.53 eV per formula unit
energy above the lowest structure with this stoichiometry = 171 meV/atom
DOS at the Fermi energy = 0.629 states/eV/atom

Question: Look up the spin magnetization of the second one.
Answer: 0.0 μB per formula unit